DFT (PBE) results for an optimized crystal structure of ZnCrMo2Br.

Theoretical density, g/cm3: 7.04
Density of states at the Fermi level, states/eV/atom: 1.14
Raw formation energy, meV per atom: 1499
Crystal system: tetragonal

Lattice parameters (Å, degrees): 4.610 4.610 4.322 90.00 90.00 90.00
Atoms (fractional coordinates):
Zn  0.000  0.000  0.000
Cr  0.500  0.500  0.000
Mo  0.000  0.500  0.500
Mo  0.500  0.000  0.500
Br  0.500  0.500  0.500

DFT (PBE) results for an optimized crystal structure of Zr2BeSb.

Energy relative to the lowest polymorph listed for this composition, meV per atom: 367.9
Theoretical density, g/cm3: 6.69
Density of states at the Fermi level, states/eV/atom: 0.74
Raw formation energy, meV per atom: -148
Crystal system: tetragonal

Lattice parameters (Å, degrees): 3.121 3.121 7.984 90.00 90.00 90.00
Atoms (fractional coordinates):
Zr  0.000  0.000  0.207
Zr  0.000  0.000  0.793
Be  0.500  0.500  0.000
Sb  0.500  0.500  0.500

DFT (PBE) results for an optimized crystal structure of Cs3Te5.

Theoretical density, g/cm3: 4.25
Density of states at the Fermi level, states/eV/atom: 0.19
Raw formation energy, meV per atom: -682
Crystal system: orthorhombic

Lattice parameters (Å, degrees): 14.730 10.169 11.934 83.17 43.28 53.56
Atoms (fractional coordinates):
Cs  0.000  0.000  0.000
Cs  0.250  0.250  0.250
Cs  0.335  0.678  0.336
Cs  0.599  0.914  0.572
Cs  0.678  0.335  0.651
Cs  0.914  0.599  0.915
Te  0.026  0.337  0.145
Te  0.105  0.758  0.224
Te  0.181  0.507  0.006
Te  0.244  0.945  0.069
Te  0.337  0.026  0.492
Te  0.400  0.400  0.600
Te  0.507  0.181  0.305
Te  0.650  0.650  0.850
Te  0.758  0.105  0.913
Te  0.945  0.244  0.743

DFT (PBE) results for an optimized crystal structure of ZnB2Se.

Energy relative to the lowest polymorph listed for this composition, meV per atom: 0.0
Theoretical density, g/cm3: 4.82
Density of states at the Fermi level, states/eV/atom: 0.16
Raw formation energy, meV per atom: 771
Crystal system: tetragonal

Lattice parameters (Å, degrees): 5.733 5.733 5.733 127.71 127.71 77.09
Atoms (fractional coordinates):
Zn  0.000  0.000  0.000
Zn  0.750  0.250  0.500
B  0.135  0.625  0.010
B  0.375  0.385  0.510
B  0.615  0.125  0.990
B  0.875  0.865  0.490
Se  0.250  0.750  0.500
Se  0.500  0.500  0.000

DFT (PBE) results for an optimized crystal structure of TiCuNi2.

Theoretical density, g/cm3: 7.83
Density of states at the Fermi level, states/eV/atom: 0.61
Crystal system: tetragonal
Formation enthalpy at 0 K, meV per atom: -345.3

Lattice parameters (Å, degrees): 4.421 4.421 4.421 130.70 130.70 72.29
Atoms (fractional coordinates):
Ti  0.000  0.000  0.000
Cu  0.500  0.500  0.000
Ni  0.250  0.750  0.500
Ni  0.750  0.250  0.500

DFT (PBE) results for an optimized crystal structure of PrIn8Ni4.

Theoretical density, g/cm3: 8.49
Density of states at the Fermi level, states/eV/atom: 0.44
Crystal system: tetragonal
Formation enthalpy at 0 K, meV per atom: -168.2

Lattice parameters (Å, degrees): 7.262 7.262 7.262 98.73 98.73 134.14
Atoms (fractional coordinates):
Pr  0.000  0.000  0.000
In  0.000  0.335  0.335
In  0.000  0.665  0.665
In  0.278  0.500  0.778
In  0.335  0.000  0.335
In  0.500  0.278  0.778
In  0.500  0.722  0.222
In  0.665  0.000  0.665
In  0.722  0.500  0.222
Ni  0.000  0.000  0.500
Ni  0.000  0.500  0.000
Ni  0.500  0.000  0.000
Ni  0.500  0.500  0.500